# Mg2TaWO8 | the Alexandria database | PBE+U | relaxed
data_Mg2TaWO8
_chemical_formula_sum 'Mg4 Ta2 W2 O16'
_cell_length_a 6.6061
_cell_length_b 6.9327
_cell_length_c 6.1698
_cell_angle_alpha 90.00
_cell_angle_beta 90.00
_cell_angle_gamma 90.00
_space_group_name_H-M_alt 'C m m m'
_space_group_IT_number 65
_space_group_name_Hall '-C 2 2'
loop_
_atom_site_label
_atom_site_type_symbol
_atom_site_fract_x
_atom_site_fract_y
_atom_site_fract_z
Mg1 Mg 0.0000 0.0000 0.2502
Ta1 Ta 0.0000 0.5000 0.0000
W1 W 0.0000 0.5000 0.5000
O1 O 0.0000 0.3136 0.2564
O2 O 0.2061 0.0000 0.0000
O3 O 0.2116 0.0000 0.5000
# - total DFT energy (no corrections) (eV per atom) = -7.47
# - total magnetization (μB/atom) = 0.05
# - DOS(E_F) (states/eV per cell) = 14.863